(1)
An optimized crystal structure of AlWAu2, computed with GGA-PBE.

Cell lengths 4.5614, 4.5614, 4.5614 Å; angles 60.00, 60.00, 60.00 degrees
Sites, in units of the cell vectors:
1 Al 0.0000 0.0000 0.0000
2 W 0.2500 0.2500 0.2500
3 Au 0.5000 0.5000 0.5000
4 Au 0.7500 0.7500 0.7500

VASP energy in eV/atom: -5.43



(2)
An optimized crystal structure of MgScIr2, computed with GGA-PBE.

Cell lengths 4.5720, 4.5720, 7.7725 Å; angles 90.00, 90.00, 120.00 degrees
Sites, in units of the cell vectors:
1 Mg 0.0000 0.0000 0.2500
2 Mg 0.0000 0.0000 0.7500
3 Sc 0.3333 0.6667 0.2500
4 Sc 0.6667 0.3333 0.7500
5 Ir 0.3333 0.6667 0.5855
6 Ir 0.3333 0.6667 0.9145
7 Ir 0.6667 0.3333 0.0855
8 Ir 0.6667 0.3333 0.4145

VASP energy in eV/atom: -6.43



(3)
An optimized crystal structure of K2PtS2, computed with GGA-PBE.

Cell lengths 11.0029, 7.4798, 7.8647 Å; angles 90.00, 90.00, 90.00 degrees
Sites, in units of the cell vectors:
1 K 0.0973 0.2500 0.0000
2 K 0.0973 0.2500 0.5000
3 K 0.3906 0.5081 0.2500
4 K 0.3906 0.9919 0.7500
5 K 0.6094 0.0081 0.2500
6 K 0.6094 0.4919 0.7500
7 K 0.9027 0.7500 0.0000
8 K 0.9027 0.7500 0.5000
9 Pt 0.2116 0.6353 0.7500
10 Pt 0.2116 0.8647 0.2500
11 Pt 0.7884 0.1353 0.7500
12 Pt 0.7884 0.3647 0.2500
13 S 0.1137 0.6101 0.2500
14 S 0.1137 0.8899 0.7500
15 S 0.3303 0.1017 0.2500
16 S 0.3303 0.3983 0.7500
17 S 0.6697 0.6017 0.2500
18 S 0.6697 0.8983 0.7500
19 S 0.8863 0.1101 0.2500
20 S 0.8863 0.3899 0.7500

VASP energy in eV/atom: -3.90



(4)
An optimized crystal structure of BaTbLuS3, computed with GGA-PBE.

Cell lengths 7.4179, 7.4179, 10.5815 Å; angles 90.00, 90.00, 147.12 degrees
Sites, in units of the cell vectors:
1 Ba 0.2408 0.7592 0.7500
2 Ba 0.7592 0.2408 0.2500
3 Tb 0.5000 0.5000 0.0000
4 Tb 0.5000 0.5000 0.5000
5 Lu 0.0329 0.9671 0.2500
6 Lu 0.9671 0.0329 0.7500
7 S 0.1316 0.8684 0.0517
8 S 0.1316 0.8684 0.4483
9 S 0.4228 0.5772 0.2500
10 S 0.5772 0.4228 0.7500
11 S 0.8684 0.1316 0.5517
12 S 0.8684 0.1316 0.9483

VASP energy in eV/atom: -5.63